Record 1
Density functional theory data (PBE-GGA) for crystalline TbTmTcPd at its relaxed geometry.

Cell lengths 4.861, 4.861, 4.861 Å; angles 60.00, 60.00, 60.00 degrees
Element x y z (fractional)
Tb 0.500 0.500 0.500
Pd 0.750 0.750 0.750
Tm 0.000 0.000 0.000
Tc 0.250 0.250 0.250

Properties
- Total DFT energy (no corrections): -6.559 eV per atom
- ΔE_f: -393 meV/atom

Record 2
Density functional theory data (PBE-GGA) for crystalline TbYTcPd at its relaxed geometry.

Cell lengths 4.902, 4.902, 4.902 Å; angles 60.00, 60.00, 60.00 degrees
Element x y z (fractional)
Pd 0.000 0.000 0.000
Tb 0.250 0.250 0.250
Y 0.750 0.750 0.750
Tc 0.500 0.500 0.500

Properties
- Total DFT energy (no corrections): -7.005 eV per atom
- ΔE_f: -342 meV/atom

Record 3
Density functional theory data (PBE-GGA) for crystalline TbZrTcPd at its relaxed geometry.

Cell lengths 4.793, 4.793, 4.793 Å; angles 60.00, 60.00, 60.00 degrees
Element x y z (fractional)
Pd 0.000 0.000 0.000
Tb 0.250 0.250 0.250
Zr 0.750 0.750 0.750
Tc 0.500 0.500 0.500

Properties
- Total DFT energy (no corrections): -7.616 eV per atom
- ΔE_f: -431 meV/atom

Record 4
Density functional theory data (PBE-GGA) for crystalline Tb2TePd8 at its relaxed geometry.

Cell lengths 4.799, 5.941, 8.148 Å; angles 111.34, 107.13, 90.00 degrees
Element x y z (fractional)
Pd 0.000 0.244 0.000
Pd 0.359 0.118 0.718
Pd 0.000 0.756 0.000
Pd 0.814 0.814 0.628
Pd 0.641 0.882 0.282
Pd 0.186 0.186 0.372
Pd 0.359 0.600 0.718
Pd 0.641 0.400 0.282
Te 0.500 0.000 0.000
Tb 0.186 0.686 0.372
Tb 0.814 0.314 0.628

Properties
- Total DFT energy (no corrections): -5.525 eV per atom

Record 5
Density functional theory data (PBE-GGA) for crystalline Tb4TePd2 at its relaxed geometry.

Cell lengths 8.677, 8.677, 8.625 Å; angles 119.93, 119.86, 90.40 degrees
Element x y z (fractional)
Tb 0.856 0.144 0.286
Tb 0.858 0.570 0.714
Tb 0.392 0.180 0.786
Tb 0.820 0.608 0.214
Tb 0.856 0.144 0.714
Tb 0.430 0.142 0.286
Tb 0.394 0.606 0.786
Tb 0.394 0.606 0.214
Pd 0.125 0.375 0.750
Pd 0.625 0.375 0.750
Pd 0.625 0.375 0.250
Pd 0.625 0.875 0.250
Te 0.249 0.750 0.500
Te 0.001 0.000 0.000

Properties
- Total DFT energy (no corrections): -5.279 eV per atom

Record 6
Density functional theory data (PBE-GGA) for crystalline Tb2TePd at its relaxed geometry.

Cell lengths 3.735, 3.735, 7.105 Å; angles 90.00, 90.00, 90.00 degrees
Element x y z (fractional)
Te 0.500 0.500 0.500
Tb 0.000 0.000 0.768
Tb 0.000 0.000 0.232
Pd 0.500 0.500 0.000

Properties
- Total DFT energy (no corrections): -5.325 eV per atom
- Excess energy over the best structure of this formula in the dataset: 152.2 meV/atom

Record 7
Density functional theory data (PBE-GGA) for crystalline TbTe2Pd9 at its relaxed geometry.

Cell lengths 4.124, 4.124, 12.189 Å; angles 90.00, 90.00, 90.00 degrees
Element x y z (fractional)
Tb 0.000 0.000 0.000
Pd 0.500 0.000 0.170
Pd 0.000 0.500 0.830
Pd 0.500 0.500 0.662
Pd 0.000 0.500 0.170
Pd 0.000 0.500 0.500
Pd 0.500 0.000 0.830
Pd 0.500 0.500 0.338
Pd 0.500 0.000 0.500
Pd 0.500 0.500 0.000
Te 0.000 0.000 0.666
Te 0.000 0.000 0.334

Properties
- Total DFT energy (no corrections): -5.206 eV per atom

Record 8
Density functional theory data (PBE-GGA) for crystalline Tb2TePd at its relaxed geometry.

Cell lengths 4.144, 4.144, 7.773 Å; angles 74.45, 74.45, 60.11 degrees
Element x y z (fractional)
Pd 0.000 0.000 0.000
Tb 0.261 0.261 0.216
Tb 0.739 0.739 0.784
Te 0.500 0.500 0.500

Properties
- Total DFT energy (no corrections): -5.451 eV per atom
- Excess energy over the best structure of this formula in the dataset: 26.6 meV/atom

Record 9
Density functional theory data (PBE-GGA) for crystalline TbTe2Pd7 at its relaxed geometry.

Cell lengths 4.212, 4.212, 11.263 Å; angles 100.78, 100.78, 90.00 degrees
Element x y z (fractional)
Pd 0.250 0.750 0.500
Pd 0.907 0.407 0.813
Pd 0.093 0.593 0.187
Pd 0.500 0.500 0.000
Pd 0.407 0.907 0.813
Pd 0.593 0.093 0.187
Pd 0.750 0.250 0.500
Te 0.329 0.329 0.658
Te 0.671 0.671 0.342
Tb 0.000 0.000 0.000

Properties
- Total DFT energy (no corrections): -5.234 eV per atom

Record 10
Density functional theory data (PBE-GGA) for crystalline Tb2TePd at its relaxed geometry.

Cell lengths 4.183, 4.183, 7.722 Å; angles 74.28, 74.28, 60.00 degrees
Element x y z (fractional)
Pd 0.666 0.666 0.001
Tb 0.263 0.263 0.210
Tb 0.070 0.070 0.789
Te 0.500 0.500 0.501

Properties
- Total DFT energy (no corrections): -5.454 eV per atom
- Excess energy over the best structure of this formula in the dataset: 23.5 meV/atom

Record 11
Density functional theory data (PBE-GGA) for crystalline Tb2TePd9 at its relaxed geometry.

Cell lengths 4.118, 4.118, 12.338 Å; angles 90.00, 90.00, 90.00 degrees
Element x y z (fractional)
Pd 0.500 0.500 0.671
Pd 0.500 0.000 0.500
Pd 0.500 0.000 0.838
Pd 0.500 0.500 0.329
Pd 0.000 0.500 0.838
Pd 0.000 0.500 0.500
Pd 0.500 0.500 0.000
Pd 0.500 0.000 0.162
Pd 0.000 0.500 0.162
Te 0.000 0.000 0.000
Tb 0.000 0.000 0.335
Tb 0.000 0.000 0.665

Properties
- Total DFT energy (no corrections): -5.567 eV per atom

Record 12
Density functional theory data (PBE-GGA) for crystalline Tb5Te4Pd at its relaxed geometry.

Cell lengths 4.296, 4.296, 15.856 Å; angles 97.79, 97.79, 90.00 degrees
Element x y z (fractional)
Tb 0.500 0.500 0.000
Tb 0.291 0.291 0.582
Tb 0.709 0.709 0.418
Tb 0.087 0.087 0.175
Tb 0.913 0.913 0.825
Pd 0.000 0.000 0.000
Te 0.605 0.605 0.210
Te 0.809 0.809 0.618
Te 0.395 0.395 0.790
Te 0.191 0.191 0.382

Properties
- Total DFT energy (no corrections): -5.288 eV per atom

> The highest total DFT energy (no corrections) belongs to which entry?

TbTe2Pd9

> total DFT energy (no corrections) of number 5 (Tb4TePd2)?

-5.279 eV per atom

Please write out number 6 again, unchanged.
Density functional theory data (PBE-GGA) for crystalline Tb2TePd at its relaxed geometry.

Cell lengths 3.735, 3.735, 7.105 Å; angles 90.00, 90.00, 90.00 degrees
Element x y z (fractional)
Te 0.500 0.500 0.500
Tb 0.000 0.000 0.768
Tb 0.000 0.000 0.232
Pd 0.500 0.500 0.000

Properties
- Total DFT energy (no corrections): -5.325 eV per atom
- Excess energy over the best structure of this formula in the dataset: 152.2 meV/atom